First-principles (GGA-PBE) data for an optimized crystal structure of InCu2Ni, as listed in the Open Quantum Materials Database.

Geometry as CIF:
```
data_InCu2Ni
_chemical_formula_sum 'In4 Cu8 Ni4'
_space_group_name_H-M_alt 'F -4 3 m'
_space_group_IT_number 216
_space_group_name_Hall 'F -4 2 3'
_cell_length_a 6.027
_cell_length_b 6.027
_cell_length_c 6.027
_cell_angle_alpha 90.00
_cell_angle_beta 90.00
_cell_angle_gamma 90.00
loop_
_atom_site_label
_atom_site_fract_x
_atom_site_fract_y
_atom_site_fract_z
_atom_site_occupancy
In1 0.000 0.000 0.000 1
Cu1 0.000 0.000 0.500 1
Cu2 0.250 0.250 0.750 1
Ni1 0.250 0.250 0.250 1
```

Values from the calculation:
Calculated total energy = -63.12 eV for the cell shown


First-principles (GGA-PBE) data for an optimized crystal structure of InCuNiOs, as listed in the Open Quantum Materials Database.

Geometry as CIF:
```
data_InCuNiOs
_chemical_formula_sum 'In4 Cu4 Ni4 Os4'
_space_group_name_H-M_alt 'F -4 3 m'
_space_group_IT_number 216
_space_group_name_Hall 'F -4 2 3'
_cell_length_a 6.102
_cell_length_b 6.102
_cell_length_c 6.102
_cell_angle_alpha 90.00
_cell_angle_beta 90.00
_cell_angle_gamma 90.00
loop_
_atom_site_label
_atom_site_fract_x
_atom_site_fract_y
_atom_site_fract_z
_atom_site_occupancy
In1 0.000 0.000 0.000 1
Cu1 0.250 0.250 0.250 1
Ni1 0.250 0.250 0.750 1
Os1 0.000 0.000 0.500 1
```

Values from the calculation:
Calculated total energy = -87.06 eV for the cell shown
Relative energy among the computed polymorphs = 0.0000 eV per atom